Entry 1:
# SrHg2As2

A geometry-optimized SrHg2As2 structure (PBE-GGA, Alexandria via LeMat-Bulk).

Structure (extended XYZ):
```
5
Lattice="-2.481 2.481 5.359 2.481 -2.481 5.359 2.481 2.481 -5.359" Properties=species:S:1:pos:R:3 pbc="T T T"
Sr 0.000 0.000 0.000
Hg 0.000 0.000 3.991
Hg 0.000 0.000 6.726
As 2.481 0.000 2.679
As 0.000 2.481 2.679
```

Results
Calculated volume ... 131.9 Å³ per cell
Symmetry ... I4/mmm
Calculated density ... 8.0 g/cm³
Size of the total moment ... 0.000 μB per cell
ΔE_f ... -0.26 eV per atom
DFT total energy ... -12.9 eV for the cell shown

=====

Entry 2:
# SrHg2As2

A geometry-optimized SrHg2As2 structure (PBE-GGA, Alexandria via LeMat-Bulk).

Structure (extended XYZ):
```
10
Lattice="8.284 0.000 0.000 0.000 8.284 0.000 0.000 0.000 3.668" Properties=species:S:1:pos:R:3 pbc="T T T"
Sr 0.000 0.000 0.000
Sr 4.142 4.142 0.000
Hg 0.986 3.156 0.000
Hg 3.156 7.298 0.000
Hg 5.128 0.986 0.000
Hg 7.298 5.128 0.000
As 1.628 5.770 1.834
As 2.513 1.628 1.834
As 5.770 6.655 1.834
As 6.655 2.513 1.834
```

Results
Calculated volume ... 251.7 Å³ per cell
Symmetry ... P4/mbm
Calculated density ... 8.4 g/cm³
Size of the total moment ... 0.000 μB per cell
ΔE_f ... -0.18 eV per atom
DFT total energy ... -25.0 eV for the cell shown

=====

Entry 3:
# SrHgAs2

A geometry-optimized SrHgAs2 structure (PBE-GGA, Alexandria via LeMat-Bulk).

Structure (extended XYZ):
```
4
Lattice="-1.996 2.548 5.267 1.996 -2.548 5.267 1.996 2.548 -5.267" Properties=species:S:1:pos:R:3 pbc="T T T"
Sr 0.000 0.000 0.000
Hg 0.000 2.548 2.246
As 1.996 0.000 3.218
As 0.000 0.000 4.867
```

Results
Calculated volume ... 107.1 Å³ per cell
Symmetry ... Imm2
Calculated density ... 6.8 g/cm³
Size of the total moment ... 0.000 μB per cell
ΔE_f ... -0.45 eV per atom
DFT total energy ... -13.1 eV for the cell shown

=====

Entry 4:
# SrHgAs2

A geometry-optimized SrHgAs2 structure (PBE-GGA, Alexandria via LeMat-Bulk).

Structure (extended XYZ):
```
4
Lattice="5.300 0.000 0.000 0.000 3.958 0.000 -1.090 0.000 5.263" Properties=species:S:1:pos:R:3 pbc="T T T"
Sr 0.000 0.000 0.000
Hg 2.650 1.979 0.853
As -0.245 1.979 2.778
As 1.356 0.000 3.079
```

Results
Calculated volume ... 110.4 Å³ per cell
Symmetry ... Pm
Calculated density ... 6.6 g/cm³
Size of the total moment ... 0.000 μB per cell
ΔE_f ... -0.44 eV per atom
DFT total energy ... -13.1 eV for the cell shown

=====

Entry 5:
# SrHgAs2

A geometry-optimized SrHgAs2 structure (PBE-GGA, Alexandria via LeMat-Bulk).

Structure (extended XYZ):
```
4
Lattice="5.627 -1.972 0.000 5.627 1.972 0.000 -1.956 0.000 5.251" Properties=species:S:1:pos:R:3 pbc="T T T"
Sr 0.000 0.000 0.000
Hg 4.649 0.000 2.625
As 1.137 0.000 4.473
As 8.161 0.000 0.777
```

Results
Calculated volume ... 116.5 Å³ per cell
Symmetry ... C2/m
Calculated density ... 6.2 g/cm³
Size of the total moment ... 0.000 μB per cell
ΔE_f ... -0.42 eV per atom
DFT total energy ... -13.0 eV for the cell shown

=====

Entry 6:
# SrHgAs2

A geometry-optimized SrHgAs2 structure (PBE-GGA, Alexandria via LeMat-Bulk).

Structure (extended XYZ):
```
4
Lattice="6.029 -2.097 0.000 6.029 2.097 0.000 -0.601 0.000 4.283" Properties=species:S:1:pos:R:3 pbc="T T T"
Sr 0.000 0.000 0.000
Hg 8.626 0.000 0.450
As 2.375 0.000 2.519
As 4.758 0.000 2.056
```

Results
Calculated volume ... 108.3 Å³ per cell
Symmetry ... Cm
Calculated density ... 6.7 g/cm³
Size of the total moment ... 0.000 μB per cell
ΔE_f ... -0.40 eV per atom
DFT total energy ... -12.9 eV for the cell shown

=====

Entry 7:
# SrHgAs2

A geometry-optimized SrHgAs2 structure (PBE-GGA, Alexandria via LeMat-Bulk).

Structure (extended XYZ):
```
4
Lattice="2.453 1.416 5.127 -2.453 1.416 5.127 0.000 -2.832 5.127" Properties=species:S:1:pos:R:3 pbc="T T T"
Sr 0.000 0.000 0.000
Hg 0.000 0.000 7.690
As 0.000 0.000 3.190
As 0.000 0.000 12.190
```

Results
Calculated volume ... 106.9 Å³ per cell
Symmetry ... R-3m
Calculated density ... 6.8 g/cm³
Size of the total moment ... 0.000 μB per cell
ΔE_f ... -0.27 eV per atom
DFT total energy ... -12.4 eV for the cell shown

=====

Entry 8:
# Sr3HgAs3

A geometry-optimized Sr3HgAs3 structure (PBE-GGA, Alexandria via LeMat-Bulk).

Structure (extended XYZ):
```
28
Lattice="9.856 -3.363 0.000 9.856 3.363 0.000 0.000 0.000 13.052" Properties=species:S:1:pos:R:3 pbc="T T T"
Sr 6.390 2.018 1.711
Sr 6.390 1.345 8.237
Sr 9.856 2.053 11.170
Sr 9.856 1.309 4.644
Sr 13.322 2.018 1.711
Sr 13.322 1.345 8.237
Sr 6.390 -1.345 4.815
Sr 6.390 -2.018 11.342
Sr 9.856 -1.309 8.409
Sr 9.856 -2.053 1.883
Sr 13.322 -1.345 4.815
Sr 13.322 -2.018 11.342
Hg 1.746 0.000 6.526
Hg 8.110 0.000 0.000
Hg 11.602 0.000 0.000
Hg 17.966 0.000 6.526
As 6.629 1.821 4.884
As 6.629 1.542 11.410
As 9.856 1.820 8.015
As 9.856 1.542 1.488
As 13.084 1.821 4.884
As 13.084 1.542 11.410
As 6.629 -1.542 1.642
As 6.629 -1.821 8.168
As 9.856 -1.542 11.564
As 9.856 -1.820 5.038
As 13.084 -1.542 1.642
As 13.084 -1.821 8.168
```

Results
Calculated volume ... 865.2 Å³ per cell
Symmetry ... Cmce
Calculated density ... 5.3 g/cm³
Size of the total moment ... 0.000 μB per cell
ΔE_f ... -0.83 eV per atom
DFT total energy ... -100.5 eV for the cell shown

=====

Among the records above, which one has the lowest ΔE_f? Sr3HgAs3

=====

Look up the calculated volume of the eighth one. 865.2 Å³ per cell

=====

Which of these has the lowest calculated volume? number 7